[1]
Material: LiAl2
Method: DFT, PBE
State: optimized geometry

Results
ΔE to the lowest computed polymorph: 49 meV per atom
M_tot: 0.0 μB per cell
formation energy from the elements: -0.061 eV/atom

Cell: 5.4965 5.4965 8.4546 Å, 90.00 90.00 120.00°
Space group P6_3/mmc (No. 194)
Asymmetric unit:
Li 0.3333 0.6667 0.0696 (multiplicity 4)
Al 0.0000 0.0000 0.0000 (multiplicity 2)
Al 0.1726 0.3451 0.7500 (multiplicity 6)

[2]
Material: Ho4HgOs
Method: DFT, PBE
State: optimized geometry

Results
ΔE to the lowest computed polymorph: 0 meV per atom
M_tot: 0.0 μB per cell
formation energy from the elements: -0.354 eV/atom

Cell: 8.5435 12.6995 6.1868 Å, 90.00 105.62 90.00°
Space group C2/c (No. 15)
Asymmetric unit:
Ho 0.1053 0.1707 0.0425 (multiplicity 8)
Ho 0.2183 0.4228 0.4050 (multiplicity 8)
Hg 0.0000 0.3724 0.7500 (multiplicity 4)
Os 0.0000 0.0005 0.2500 (multiplicity 4)

[3]
Material: Tm4Hg3Ru
Method: DFT, PBE
State: optimized geometry

Results
M_tot: 0.0 μB per cell
formation energy from the elements: -0.498 eV/atom

Cell: 3.5134 3.5134 15.0769 Å, 90.00 90.00 90.00°
Space group P4/mmm (No. 123)
Asymmetric unit:
Tm 0.0000 0.0000 0.1061 (multiplicity 2)
Tm 0.0000 0.0000 0.3710 (multiplicity 2)
Hg 0.5000 0.5000 0.2429 (multiplicity 2)
Hg 0.5000 0.5000 0.5000 (multiplicity 1)
Ru 0.5000 0.5000 0.0000 (multiplicity 1)

[4]
Material: Sr4NdMg5
Method: DFT, PBE
State: optimized geometry

Results
M_tot: 0.0 μB per cell
formation energy from the elements: -0.059 eV/atom

Cell: 4.0849 4.0849 20.9451 Å, 90.00 90.00 90.00°
Space group P4/mmm (No. 123)
Asymmetric unit:
Sr 0.0000 0.0000 0.1038 (multiplicity 2)
Sr 0.0000 0.0000 0.3099 (multiplicity 2)
Nd 0.0000 0.0000 0.5000 (multiplicity 1)
Mg 0.5000 0.5000 0.0000 (multiplicity 1)
Mg 0.5000 0.5000 0.2066 (multiplicity 2)
Mg 0.5000 0.5000 0.4154 (multiplicity 2)

[5]
Material: Na2ZrB2
Method: DFT, PBE
State: optimized geometry

Results
ΔE to the lowest computed polymorph: 0 meV per atom
M_tot: 0.0 μB per cell
formation energy from the elements: 1.128 eV/atom

Cell: 7.5001 7.5001 2.6583 Å, 90.00 90.00 90.00°
Space group P4/mbm (No. 127)
Asymmetric unit:
Na 0.1121 0.3879 0.0000 (multiplicity 4)
Zr 0.0000 0.0000 0.0000 (multiplicity 2)
B 0.1910 0.6910 0.5000 (multiplicity 4)

[6]
Material: Ge2SbPb2
Method: DFT, PBE
State: optimized geometry

Results
ΔE to the lowest computed polymorph: 24 meV per atom
formation energy from raw total energies: 0.93 eV/f.u.
M_tot: 0.0 μB per cell

Cell: 7.6036 7.6036 4.6722 Å, 90.00 90.00 90.00°
Space group P4/mbm (No. 127)
Asymmetric unit:
Ge 0.1211 0.3789 0.0000 (multiplicity 4)
Sb 0.0000 0.0000 0.0000 (multiplicity 2)
Pb 0.1871 0.6871 0.5000 (multiplicity 4)

> What is the M_tot in the fifth record?

0.0 μB per cell

> Which formula does entry 4 have?

Sr4NdMg5